DFT (GGA-PBEsol) results for a geometry-optimized SrYPt2 structure.

a = 4.9676 Å, b = 4.9676 Å, c = 4.9676 Å
α = 60.00°, β = 60.00°, γ = 60.00°
Last column: nearest neighbours and their distance in Å.
Element x y z (fractional)
Pt 0.7500 0.7500 0.7500  4 Sr 3.04, 4 Y 3.04
Pt 0.2500 0.2500 0.2500  4 Sr 3.04, 4 Y 3.04
Sr 0.5000 0.5000 0.5000  8 Pt 3.04
Y 0.0000 0.0000 0.0000  8 Pt 3.04

Results
total magnetic moment = 0.0 μB/f.u.
formation energy from the elements = -3.43 eV/f.u.
calculated density = 10856 kg/m3
crystal system = cubic
energy above the most stable polymorph in this dataset = 100 meV/atom

=====

DFT (GGA-PBEsol) results for a geometry-optimized SrZn2Ni structure.

a = 4.2133 Å, b = 4.2133 Å, c = 5.8238 Å
α = 68.79°, β = 68.79°, γ = 60.00°
Last column: nearest neighbours and their distance in Å.
Element x y z (fractional)
Sr 0.7559 0.7559 0.7324  1 Ni 2.97, 1 Zn 3.01
Zn 0.9454 0.9454 0.1639  3 Zn 2.51, 3 Ni 2.53
Zn 0.2407 0.2407 0.2779  3 Ni 2.43, 3 Zn 2.51
Ni 0.5689 0.5689 0.2934  6 Zn 2.43-2.53

Results
total magnetic moment = 0.0 μB/f.u.
formation energy from the elements = -0.84 eV/f.u.
calculated density = 5657 kg/m3
crystal system = trigonal

=====

DFT (GGA-PBEsol) results for a geometry-optimized Sc3Tl5 structure.

a = 4.5948 Å, b = 6.3271 Å, c = 6.3271 Å
α = 92.21°, β = 90.00°, γ = 90.00°
Last column: nearest neighbours and their distance in Å.
Element x y z (fractional)
Sc 0.0000 0.5000 0.5000  8 Tl 3.02-3.16
Sc 0.5000 0.7748 0.2252  10 Tl 3.08-3.18, 2 Sc 3.40
Sc 0.5000 0.2252 0.7748  10 Tl 3.08-3.18, 2 Sc 3.40
Tl 0.0000 0.0000 0.0000  4 Sc 3.08, 8 Tl 3.16-3.34
Tl 0.0000 0.0000 0.5000  6 Sc 3.16-3.18, 6 Tl 3.16-3.24
Tl 0.0000 0.5000 0.0000  6 Tl 3.16-3.24, 6 Sc 3.16-3.18
Tl 0.5000 0.2764 0.2764  6 Sc 3.02-3.18, 6 Tl 3.24-3.34
Tl 0.5000 0.7236 0.7236  6 Sc 3.02-3.18, 6 Tl 3.24-3.34

Results
total magnetic moment = 0.0 μB/f.u.
formation energy from the elements = -2.04 eV/f.u.
calculated density = 10451 kg/m3
crystal system = orthorhombic